DFT (PBE) results for NaNp2ScO8 after structural relaxation.

Geometry as CIF:
```
data_NaNp2ScO8
_cell_length_a 6.7627
_cell_length_b 7.0305
_cell_length_c 6.9400
_cell_angle_alpha 90.00
_cell_angle_beta 90.00
_cell_angle_gamma 90.00
_space_group_name_H-M_alt 'C m m m'
_space_group_IT_number 65
_space_group_name_Hall '-C 2 2'
loop_
_atom_site_label
_atom_site_type_symbol
_atom_site_fract_x
_atom_site_fract_y
_atom_site_fract_z
Na1 Na 0.0000 0.0000 0.0000
Np1 Np 0.0000 0.5000 0.2500
Sc1 Sc 0.0000 0.0000 0.5000
O1 O 0.0000 0.3066 0.5000
O2 O 0.0000 0.3251 0.0000
O3 O 0.2122 0.0000 0.2698
```

Summary:
calculated density = 6.74 g cm⁻³
calculated total energy = -106.841 eV/f.u.
spin magnetization = 4.0 μB per cell
density of states at the Fermi level = 6.365 states/eV/f.u.